## a
Entry from the Alexandria database: PaSnGeAu after structural relaxation (PBE-GGA).

Cell: 5.0175 5.0175 5.0175 Å, 60.00 60.00 60.00°
With the nearest neighbours (Å) after each atom.
Fractional coordinates of all 4 atoms:
Pa  0.0000  0.0000  0.0000  4 Au 3.07, 4 Ge 3.07
Au  0.2500  0.2500  0.2500  4 Sn 3.07, 4 Pa 3.07
Ge  0.7500  0.7500  0.7500  4 Sn 3.07, 4 Pa 3.07
Sn  0.5000  0.5000  0.5000  4 Ge 3.07, 4 Au 3.07

Summary:
Total magnetic moment: 1.25 μB per formula unit

=====

## b
Entry from the Alexandria database: PaSnGeAu after structural relaxation (PBE-GGA).

Cell: 4.3964 4.3964 9.1831 Å, 90.00 90.00 90.00°
With the nearest neighbours (Å) after each atom.
Fractional coordinates of all 8 atoms:
Au  0.5000  0.5000  0.0000  4 Sn 2.93, 4 Au 3.11
Pa  0.0000  0.5000  0.2675  4 Ge 3.06, 4 Sn 3.15, 4 Au 3.30
Sn  0.0000  0.5000  0.7893  4 Au 2.93, 4 Pa 3.15
Au  0.0000  0.0000  0.0000  4 Sn 2.93, 4 Au 3.11
Ge  0.0000  0.0000  0.5000  4 Pa 3.06, 4 Ge 3.11
Ge  0.5000  0.5000  0.5000  4 Pa 3.06, 4 Ge 3.11
Pa  0.5000  0.0000  0.7325  4 Ge 3.06, 4 Sn 3.15, 4 Au 3.30
Sn  0.5000  0.0000  0.2107  4 Au 2.93, 4 Pa 3.15

Summary:
Total magnetic moment: 0.00 μB per formula unit

=====

Which of them is most stable? Easy: b.